Run one
DFT (PBE-GGA) results for YPWS2 after structural relaxation.

```
YPWS2
1.0
4.6468 0.0000 0.0000
0.0000 4.6468 0.0000
0.0000 0.0000 4.8338
Y P W S
1 1 1 2
Cartesian
0.0000 0.0000 0.0000
2.3234 2.3234 0.0000
2.3234 2.3234 2.4169
0.0000 2.3234 2.4169
2.3234 0.0000 2.4169
```

Properties
Calculated density, g/cm³: 5.9
Total magnetization, Bohr magnetons per cell: 0.000

---

Run two
DFT (PBE-GGA) results for YPWS2 after structural relaxation.

```
YPWS2
1.0
5.0842 0.0000 0.0000
0.0000 5.0842 0.0000
0.0000 0.0000 5.2649
Y P W S
1 1 1 2
Cartesian
0.0000 0.0000 0.0000
0.0000 0.0000 2.6325
2.5421 2.5421 2.6325
0.0000 2.5421 0.0000
2.5421 0.0000 0.0000
```

Properties
Calculated density, g/cm³: 4.5
Total magnetization, Bohr magnetons per cell: 2.410

---

Which structure loses on stability? run two does.

---

Run one
DFT (PBE-GGA) results for YP2WS after structural relaxation.

```
YP2WS
1.0
4.7444 0.0000 0.0000
0.0000 4.7444 0.0000
0.0000 0.0000 4.6497
Y P W S
1 2 1 1
Cartesian
0.0000 0.0000 0.0000
0.0000 2.3722 2.3248
2.3722 0.0000 2.3248
2.3722 2.3722 2.3248
2.3722 2.3722 0.0000
```

Properties
Calculated density, g/cm³: 5.8
Total magnetization, Bohr magnetons per cell: 0.000

---

Run two
DFT (PBE-GGA) results for YP2WS after structural relaxation.

```
YP2WS
1.0
5.1598 0.0000 0.0000
0.0000 5.1598 0.0000
0.0000 0.0000 5.0483
Y P W S
1 2 1 1
Cartesian
0.0000 0.0000 0.0000
0.0000 2.5799 0.0000
2.5799 0.0000 0.0000
2.5799 2.5799 2.5242
0.0000 0.0000 2.5242
```

Properties
Calculated density, g/cm³: 4.5
Total magnetization, Bohr magnetons per cell: 2.732

---

Which structure loses on stability? run two does.

---

Run one
DFT (PBE-GGA) results for ZrP2WS after structural relaxation.

```
ZrP2WS
1.0
4.9956 0.0000 0.0000
0.0000 4.9956 0.0000
0.0000 0.0000 4.8147
Zr P W S
1 2 1 1
Cartesian
0.0000 0.0000 0.0000
0.0000 2.4978 0.0000
2.4978 0.0000 0.0000
2.4978 2.4978 2.4073
0.0000 0.0000 2.4073
```

Properties
Calculated density, g/cm³: 5.1
Total magnetization, Bohr magnetons per cell: 2.871

---

Run two
DFT (PBE-GGA) results for ZrP2WS after structural relaxation.

```
ZrP2WS
1.0
4.7105 0.0000 0.0000
0.0000 4.7105 0.0000
0.0000 0.0000 4.5731
Zr P W S
1 2 1 1
Cartesian
0.0000 0.0000 0.0000
0.0000 2.3553 2.2866
2.3553 0.0000 2.2866
2.3553 2.3553 2.2866
2.3553 2.3553 0.0000
```

Properties
Calculated density, g/cm³: 6.0
Total magnetization, Bohr magnetons per cell: 0.718

---

Which structure loses on stability? run one does.

---

Run one
DFT (PBE-GGA) results for YP2S2 after structural relaxation.

```
YP2S2
1.0
5.1827 0.0000 0.0000
0.0000 5.1827 0.0000
0.0000 0.0000 5.5784
Y P S
1 2 2
Cartesian
0.0000 0.0000 0.0000
0.0000 0.0000 2.7892
2.5913 2.5913 2.7892
0.0000 2.5913 0.0000
2.5913 0.0000 0.0000
```

Properties
Calculated density, g/cm³: 2.4
Total magnetization, Bohr magnetons per cell: 0.326

---

Run two
DFT (PBE-GGA) results for YP2S2 after structural relaxation.

```
YP2S2
1.0
4.6091 0.0000 0.0000
0.0000 4.6091 0.0000
0.0000 0.0000 4.4891
Y P S
1 2 2
Cartesian
0.0000 0.0000 0.0000
2.3046 2.3046 0.0000
2.3046 2.3046 2.2446
0.0000 2.3046 2.2446
2.3046 0.0000 2.2446
```

Properties
Calculated density, g/cm³: 3.7
Total magnetization, Bohr magnetons per cell: 0.000

---

Which structure loses on stability? run one does.

---

Run one
DFT (PBE-GGA) results for YP2S2 after structural relaxation.

```
YP2S2
1.0
5.4077 0.0000 0.0000
0.0000 5.4077 0.0000
0.0000 0.0000 5.0939
Y P S
1 2 2
Cartesian
0.0000 0.0000 0.0000
0.0000 2.7038 0.0000
2.7038 0.0000 0.0000
0.0000 0.0000 2.5470
2.7038 2.7038 2.5470
```

Properties
Calculated density, g/cm³: 2.4
Total magnetization, Bohr magnetons per cell: 0.522

---

Run two
DFT (PBE-GGA) results for YP2S2 after structural relaxation.

```
YP2S2
1.0
4.5808 0.0000 0.0000
0.0000 4.5808 0.0000
0.0000 0.0000 4.5726
Y P S
1 2 2
Cartesian
0.0000 0.0000 0.0000
0.0000 2.2904 2.2863
2.2904 0.0000 2.2863
2.2904 2.2904 0.0000
2.2904 2.2904 2.2863
```

Properties
Calculated density, g/cm³: 3.7
Total magnetization, Bohr magnetons per cell: 0.000

---

Which structure loses on stability? run one does.

---

Run one
DFT (PBE-GGA) results for Y3PS after structural relaxation.

```
Y3PS
1.0
5.0935 0.0000 0.0000
0.0000 5.0935 0.0000
0.0000 0.0000 5.0935
Y P S
3 1 1
Cartesian
0.0000 0.0000 2.5467
0.0000 2.5467 0.0000
2.5467 0.0000 0.0000
2.5467 2.5467 2.5467
0.0000 0.0000 0.0000
```

Properties
Calculated density, g/cm³: 4.1
Total magnetization, Bohr magnetons per cell: 0.000

---

Run two
DFT (PBE-GGA) results for Y3PS after structural relaxation.

```
Y3PS
1.0
6.4827 0.0000 0.0000
0.0000 3.5920 0.0000
-3.2201 0.0000 5.6315
Y P S
3 1 1
Cartesian
0.0000 0.0000 0.0000
-0.0257 0.0000 3.7269
3.1884 0.0000 1.8289
-1.0780 1.7960 5.5918
5.3588 1.7960 1.8584
```

Properties
Calculated density, g/cm³: 4.2
Total magnetization, Bohr magnetons per cell: 0.522

---

Which structure loses on stability? run one does.

---

Run one
DFT (PBE-GGA) results for ZnP2S after structural relaxation.

```
ZnP2S
1.0
6.2675 0.0000 0.0000
0.0000 6.2675 0.0000
0.0000 0.0000 6.2675
Zn P S
4 8 4
Cartesian
0.0000 0.0000 0.0000
0.0000 3.1337 3.1337
3.1337 0.0000 3.1337
3.1337 3.1337 0.0000
1.5669 1.5669 1.5669
1.5669 1.5669 4.7006
1.5669 4.7006 1.5669
1.5669 4.7006 4.7006
4.7006 1.5669 1.5669
4.7006 1.5669 4.7006
4.7006 4.7006 1.5669
4.7006 4.7006 4.7006
0.0000 0.0000 3.1337
0.0000 3.1337 0.0000
3.1337 0.0000 0.0000
3.1337 3.1337 3.1337
```

Properties
Calculated density, g/cm³: 4.3
Total magnetization, Bohr magnetons per cell: 0.000

---

Run two
DFT (PBE-GGA) results for ZnP2S after structural relaxation.

```
ZnP2S
1.0
5.1845 0.0000 0.0000
0.0000 5.1845 0.0000
0.0000 0.0000 12.1845
Zn P S
4 8 4
Cartesian
0.0000 0.0000 0.0000
0.0000 2.5923 3.0461
2.5923 0.0000 9.1384
2.5923 2.5923 6.0923
1.2452 1.2961 7.6153
1.2961 3.8374 10.6614
1.2961 3.9393 4.5692
1.3471 1.2961 1.5231
3.8374 3.8884 1.5231
3.8884 1.2452 4.5692
3.8884 1.3471 10.6614
3.9393 3.8884 7.6153
0.0000 0.0000 6.0923
0.0000 2.5923 9.1384
2.5923 0.0000 3.0461
2.5923 2.5923 0.0000
```

Properties
Calculated density, g/cm³: 3.2
Total magnetization, Bohr magnetons per cell: 0.000

---

Which structure loses on stability? run one does.

---

Run one
DFT (PBE-GGA) results for ZrZnPS2 after structural relaxation.

```
ZrZnPS2
1.0
4.9272 0.0000 0.0000
0.0000 4.9272 0.0000
0.0000 0.0000 5.2165
Zr Zn P S
1 1 1 2
Cartesian
0.0000 0.0000 0.0000
2.4636 2.4636 2.6082
0.0000 0.0000 2.6082
0.0000 2.4636 0.0000
2.4636 0.0000 0.0000
```

Properties
Calculated density, g/cm³: 3.3
Total magnetization, Bohr magnetons per cell: 0.000

---

Run two
DFT (PBE-GGA) results for ZrZnPS2 after structural relaxation.

```
ZrZnPS2
1.0
4.5768 0.0000 0.0000
0.0000 4.5768 0.0000
0.0000 0.0000 4.5855
Zr Zn P S
1 1 1 2
Cartesian
0.0000 0.0000 0.0000
2.2884 2.2884 2.2927
2.2884 2.2884 0.0000
0.0000 2.2884 2.2927
2.2884 0.0000 2.2927
```

Properties
Calculated density, g/cm³: 4.4
Total magnetization, Bohr magnetons per cell: 0.000

---

Which structure loses on stability? run two does.

---

Run one
DFT (PBE-GGA) results for ZrP2S2 after structural relaxation.

```
ZrP2S2
1.0
5.1367 0.0000 0.0000
0.0000 5.1367 0.0000
0.0000 0.0000 4.8039
Zr P S
1 2 2
Cartesian
0.0000 0.0000 0.0000
0.0000 2.5684 0.0000
2.5684 0.0000 0.0000
0.0000 0.0000 2.4019
2.5684 2.5684 2.4019
```

Properties
Calculated density, g/cm³: 2.8
Total magnetization, Bohr magnetons per cell: 0.186

---

Run two
DFT (PBE-GGA) results for ZrP2S2 after structural relaxation.

```
ZrP2S2
1.0
4.4694 0.0000 0.0000
0.0000 4.4694 0.0000
0.0000 0.0000 4.4463
Zr P S
1 2 2
Cartesian
0.0000 0.0000 0.0000
2.2347 2.2347 0.0000
2.2347 2.2347 2.2231
0.0000 2.2347 2.2231
2.2347 0.0000 2.2231
```

Properties
Calculated density, g/cm³: 4.1
Total magnetization, Bohr magnetons per cell: 0.000

---

Which structure loses on stability? run one does.

---

Run one
DFT (PBE-GGA) results for ZrP2S2 after structural relaxation.

```
ZrP2S2
1.0
4.4903 0.0000 0.0000
0.0000 4.4903 0.0000
0.0000 0.0000 4.4122
Zr P S
1 2 2
Cartesian
0.0000 0.0000 0.0000
0.0000 2.2451 2.2061
2.2451 0.0000 2.2061
2.2451 2.2451 0.0000
2.2451 2.2451 2.2061
```

Properties
Calculated density, g/cm³: 4.1
Total magnetization, Bohr magnetons per cell: 0.000

---

Run two
DFT (PBE-GGA) results for ZrP2S2 after structural relaxation.

```
ZrP2S2
1.0
4.8843 0.0000 0.0000
0.0000 4.8843 0.0000
0.0000 0.0000 5.3153
Zr P S
1 2 2
Cartesian
0.0000 0.0000 0.0000
0.0000 0.0000 2.6577
2.4421 2.4421 2.6577
0.0000 2.4421 0.0000
2.4421 0.0000 0.0000
```

Properties
Calculated density, g/cm³: 2.8
Total magnetization, Bohr magnetons per cell: 0.943

---

Which structure loses on stability? run two does.

---

Run one
DFT (PBE-GGA) results for Zr2PS after structural relaxation.

```
Zr2PS
1.0
3.7344 0.0000 0.0000
-1.8672 3.2341 0.0000
0.0000 0.0000 18.6573
Zr P S
6 3 3
Cartesian
0.0000 0.0000 4.4791
0.0000 0.0000 14.1782
0.0000 2.1561 7.9591
0.0000 2.1561 16.9173
1.8672 1.0780 1.7400
1.8672 1.0780 10.6982
0.0000 0.0000 9.3286
0.0000 2.1561 3.1096
1.8672 1.0780 15.5477
0.0000 0.0000 0.0000
0.0000 2.1561 12.4382
1.8672 1.0780 6.2191
```

Properties
Calculated density, g/cm³: 5.4
Total magnetization, Bohr magnetons per cell: 0.000

---

Run two
DFT (PBE-GGA) results for Zr2PS after structural relaxation.

```
Zr2PS
1.0
6.5017 0.0000 0.0000
0.0000 6.5017 0.0000
0.0000 0.0000 6.5017
Zr P S
8 4 4
Cartesian
1.6254 1.6254 1.6254
1.6254 1.6254 4.8763
1.6254 4.8763 1.6254
1.6254 4.8763 4.8763
4.8763 1.6254 1.6254
4.8763 1.6254 4.8763
4.8763 4.8763 1.6254
4.8763 4.8763 4.8763
0.0000 0.0000 0.0000
0.0000 3.2509 3.2509
3.2509 0.0000 3.2509
3.2509 3.2509 0.0000
0.0000 0.0000 3.2509
0.0000 3.2509 0.0000
3.2509 0.0000 0.0000
3.2509 3.2509 3.2509
```

Properties
Calculated density, g/cm³: 5.9
Total magnetization, Bohr magnetons per cell: 0.000

---

Run three
DFT (PBE-GGA) results for Zr2PS after structural relaxation.

```
Zr2PS
1.0
5.8025 0.0000 0.0000
0.0000 5.8025 0.0000
0.0000 0.0000 11.6431
Zr P S
8 4 4
Cartesian
1.4503 1.4506 1.4554
1.4510 1.4506 7.2769
1.4506 4.3516 4.3661
1.4506 4.3522 10.1877
4.3519 1.4510 4.3661
4.3519 1.4503 10.1877
4.3522 4.3519 1.4554
4.3516 4.3519 7.2769
0.0000 0.0000 0.0000
0.0000 2.9013 2.9108
2.9013 0.0000 8.7323
2.9013 2.9013 5.8215
0.0000 0.0000 5.8215
0.0000 2.9013 8.7323
2.9013 0.0000 2.9108
2.9013 2.9013 0.0000
```

Properties
Calculated density, g/cm³: 4.2
Total magnetization, Bohr magnetons per cell: 0.000

---

Which structure loses on stability? run three does.

---

Run one
DFT (PBE-GGA) results for ZrPS3 after structural relaxation.

```
ZrPS3
1.0
4.9781 0.0000 0.0000
0.0000 4.9781 0.0000
0.0000 0.0000 4.9781
Zr P S
1 1 3
Cartesian
0.0000 0.0000 0.0000
2.4891 2.4891 2.4891
0.0000 0.0000 2.4891
0.0000 2.4891 0.0000
2.4891 0.0000 0.0000
```

Properties
Calculated density, g/cm³: 2.9
Total magnetization, Bohr magnetons per cell: 1.174

---

Run two
DFT (PBE-GGA) results for ZrPS3 after structural relaxation.

```
ZrPS3
1.0
4.4600 0.0000 0.0000
0.0000 4.4600 0.0000
0.0000 0.0000 4.4600
Zr P S
1 1 3
Cartesian
0.0000 0.0000 0.0000
2.2300 2.2300 2.2300
0.0000 2.2300 2.2300
2.2300 0.0000 2.2300
2.2300 2.2300 0.0000
```

Properties
Calculated density, g/cm³: 4.1
Total magnetization, Bohr magnetons per cell: 0.968

---

Which structure loses on stability? run one does.